Entry 1:
The following is a DFT calculation (PBE-GGA) of a relaxed structure of LaHf2Mo2.

Computed properties:
- Mass density: 10.48 g/cm³
- Spin magnetization: 0.000 μB/f.u.
- Space-group type: P4/mbm
- Formation energy: 0.27 eV per atom
- Distance to the lowest polymorph of the same formula: 0 meV/atom
- Volume: 218 Å³ per cell

Cell and atoms, written as POSCAR:
```
LaHf2Mo2
1.0
8.096 0.000 0.000
0.000 8.096 0.000
0.000 0.000 3.326
Hf La Mo
4 2 4
direct
0.139 0.639 0.500 Hf
0.361 0.139 0.500 Hf
0.861 0.361 0.500 Hf
0.639 0.861 0.500 Hf
0.500 0.500 0.000 La
0.000 0.000 0.000 La
0.855 0.645 0.000 Mo
0.355 0.855 0.000 Mo
0.645 0.145 0.000 Mo
0.145 0.355 0.000 Mo
```

Entry 2:
The following is a DFT calculation (PBE-GGA) of a relaxed structure of LaHf2Mo.

Computed properties:
- Mass density: 10.30 g/cm³
- Spin magnetization: 0.000 μB/f.u.
- Space-group type: I-42d
- Formation energy: 0.79 eV per atom
- Distance to the lowest polymorph of the same formula: 730 meV/atom
- Volume: 191 Å³ per cell

Cell and atoms, written as POSCAR:
```
LaHf2Mo
1.0
4.265 0.000 0.000
0.000 4.265 0.000
2.132 2.132 10.495
Mo Hf La
2 4 2
direct
0.500 0.500 0.000 Mo
0.250 0.750 0.500 Mo
0.609 0.125 0.250 Hf
0.875 0.859 0.750 Hf
0.141 0.625 0.250 Hf
0.375 0.391 0.750 Hf
0.750 0.250 0.500 La
0.000 0.000 0.000 La
```

Entry 3:
The following is a DFT calculation (PBE-GGA) of a relaxed structure of La2HfMoN5.

Computed properties:
- Mass density: 8.09 g/cm³
- Spin magnetization: 0.002 μB/f.u.
- Space-group type: Cmc2_1
- Volume: 255 Å³ per cell
- Uncorrected formation energy: -1.211 eV per atom

Cell and atoms, written as POSCAR:
```
La2HfMoN5
1.0
3.452 0.000 0.000
-1.726 6.861 0.000
0.000 0.000 10.788
N La Hf Mo
10 4 2 2
direct
0.047 0.094 0.038 N
0.681 0.362 0.888 N
0.508 0.017 0.291 N
0.282 0.564 0.651 N
0.953 0.906 0.538 N
0.492 0.983 0.791 N
0.319 0.638 0.388 N
0.370 0.739 0.002 N
0.718 0.436 0.151 N
0.630 0.261 0.502 N
0.853 0.705 0.800 La
0.889 0.779 0.186 La
0.111 0.221 0.686 La
0.147 0.295 0.300 La
0.215 0.431 0.012 Hf
0.785 0.569 0.512 Hf
0.473 0.945 0.457 Mo
0.527 0.055 0.957 Mo
```

Entry 4:
The following is a DFT calculation (PBE-GGA) of a relaxed structure of La2HfMo2N6.

Computed properties:
- Mass density: 6.68 g/cm³
- Spin magnetization: 0.000 μB/f.u.
- Space-group type: R-3m
- Volume: 182 Å³ per cell
- Uncorrected formation energy: -0.811 eV per atom

Cell and atoms, written as POSCAR:
```
La2HfMo2N6
1.0
-3.500 -1.874 4.582
2.413 -0.890 5.490
-1.480 4.520 4.730
Mo N La Hf
2 6 2 1
direct
0.429 0.429 0.712 Mo
0.571 0.571 0.288 Mo
0.238 0.771 0.753 N
0.762 0.762 0.247 N
0.229 0.762 0.247 N
0.771 0.238 0.753 N
0.762 0.229 0.247 N
0.238 0.238 0.753 N
0.804 0.804 0.587 La
0.196 0.196 0.413 La
0.000 0.000 0.000 Hf
```